Computed, not measured: a relaxed Li4YBi2 crystal at the GGA-PBE level of DFT.

Electronic total energy: -3.67 eV/atom
Space-group type: P4_2/mnm, No. 136

```
Li4YBi2
1.0
8.208 0.000 0.000
0.000 8.208 0.000
0.000 0.000 4.578
Li Y Bi
8 2 4
Cartesian
0.840 2.851 0.000
1.253 4.944 2.289
2.851 0.840 0.000
3.263 6.955 2.289
4.944 1.253 2.289
5.357 7.367 0.000
6.955 3.263 2.289
7.367 5.357 0.000
0.000 0.000 2.289
4.104 4.104 0.000
1.713 6.495 0.000
2.391 2.391 2.289
5.817 5.817 2.289
6.495 1.713 0.000
```



Computed, not measured: a relaxed ScSn3Os crystal at the GGA-PBE level of DFT.

ΔE to the lowest computed polymorph: 1050 meV/atom
Space-group type: Pm-3m, No. 221

```
ScSn3Os
1.0
5.361 0.000 0.000
0.000 5.361 0.000
0.000 0.000 5.361
Sc Sn Os
1 3 1
Cartesian
0.000 0.000 0.000
0.000 0.000 2.680
0.000 2.680 0.000
2.680 0.000 0.000
2.680 2.680 2.680
```



Computed, not measured: a relaxed CaHgRh2 crystal at the GGA-PBE level of DFT.

Electronic total energy: -4.31 eV/atom
Space-group type: P4mm, No. 99

```
CaHgRh2
1.0
3.373 0.000 0.000
0.000 3.373 0.000
0.000 0.000 6.967
Ca Hg Rh
1 1 2
Cartesian
0.000 0.000 0.000
1.686 1.686 2.201
0.000 0.000 3.960
1.686 1.686 5.073
```



Computed, not measured: a relaxed Li2GeS4 crystal at the GGA-PBE level of DFT.

Formation energy without anion corrections: -3.2 eV/f.u.
Space-group type: Pbam, No. 55

```
Li2GeS4
1.0
8.449 0.000 0.000
0.000 10.452 0.000
0.000 0.000 2.964
Li Ge S
4 2 8
Cartesian
2.104 2.607 0.000
2.120 7.833 0.000
6.329 2.619 0.000
6.345 7.845 0.000
0.000 5.226 1.482
4.225 0.000 1.482
0.006 7.646 1.482
1.889 5.221 0.000
2.336 10.447 0.000
4.219 2.420 1.482
4.230 8.032 1.482
6.114 0.005 0.000
6.560 5.231 0.000
8.443 2.806 1.482
```



no.,DOS(E_F) (states/eV/atom)
1,0.610
2,1.377
3,1.185
4,0.259